VASP calculation (GGA-PBE) on an optimized crystal structure of AgGe2Pb2.

Values from the calculation:
Its calculated total energy is -3.75 eV per atom. Its polymorph energy (0 for the lowest one) is 0.00 kJ per mole of atoms. As for the calculated density: 9.0 g cm⁻³. For the energy of formation, the calculation gives 146 meV/atom.

a = 6.9043 Å, b = 6.9043 Å, c = 5.1508 Å
α = 90.00°, β = 90.00°, γ = 90.00°
Space group P4/mbm (No. 127)
Inequivalent atoms, fractional coordinates:
Ag1 0.0000 0.0000 0.0000
Ge1 0.1326 0.3674 0.0000
Pb1 0.1803 0.6803 0.5000